Entry 1:
{"formula": "KCd4SnAu2", "functional": "PBE", "state": "optimized geometry", "cell": [[-1.032, -4.132, -2.069], [3.093, -1.993, -2.980], [5.347, -7.434, 6.760]], "species": ["Cd", "Cd", "Cd", "Cd", "Au", "Au", "K", "Sn"], "fractional_positions": [[0.597, 0.597, 0.210], [0.120, 0.120, 0.639], [0.403, 0.403, 0.790], [0.880, 0.880, 0.361], [0.250, 0.250, 0.249], [0.750, 0.750, 0.751], [0.000, 0.000, 0.000], [0.500, 0.500, 0.500]], "dft_energy_ev_per_atom": -2.002, "space_group": "R-3m, No. 166", "crystal_system": "trigonal", "delta_e_f_ev_per_fu": -0.701, "n_ef_per_ev_atom": 0.520, "vol_a3_per_cell": 214.6, "mass_density_g_cm3": 7.75}

Entry 2:
{"formula": "K2CdSn3Au4", "functional": "PBE", "state": "optimized geometry", "cell": [[4.957, 0.000, 0.000], [0.000, 4.957, 0.000], [0.000, 0.000, 10.906]], "species": ["Au", "Au", "Au", "Au", "K", "K", "Sn", "Sn", "Sn", "Cd"], "fractional_positions": [[0.500, 0.500, 0.000], [0.000, 0.000, 0.000], [0.000, 0.500, 0.373], [0.500, 0.000, 0.627], [0.000, 0.500, 0.754], [0.500, 0.000, 0.246], [0.000, 0.500, 0.120], [0.000, 0.000, 0.500], [0.500, 0.000, 0.880], [0.500, 0.500, 0.500]], "dft_energy_ev_per_atom": -3.133, "space_group": "P-4m2, No. 115", "crystal_system": "tetragonal", "delta_e_f_ev_per_fu": -3.101, "n_ef_per_ev_atom": 0.352, "vol_a3_per_cell": 268.0, "mass_density_g_cm3": 8.27}